Density functional theory data (PBE) for an optimized crystal structure of LiLaO.

The structure in extended XYZ format:
```
6
Lattice="4.146 0.000 0.000 0.000 4.146 0.000 0.000 0.000 8.687" Properties=species:S:1:pos:R:3 pbc="T T T"
Li 1.037 1.037 0.445
Li 3.110 3.110 8.243
La 1.037 1.037 5.517
La 3.110 3.110 3.170
O 1.037 3.110 4.344
O 3.110 1.037 4.344
```

Computed properties:
DOS(E_F) (states/eV/f.u.): 1.22
Energy relative to the elements, uncorrected (kJ/mol of formula units): -548
VASP energy (eV/atom): -5.83
Total magnetization (μB/cell): 0.00
SG: P4/nmm
Density (g cm⁻³): 3.60

Density functional theory data (PBE) for an optimized crystal structure of LiLaO2.

The structure in extended XYZ format:
```
16
Lattice="5.895 0.000 0.000 0.000 6.235 0.000 -1.250 0.000 5.790" Properties=species:S:1:pos:R:3 pbc="T T T"
Li 0.748 0.883 1.108
Li 0.123 2.235 4.003
Li 4.521 4.000 1.787
Li 3.896 5.353 4.682
La 1.508 3.565 1.142
La 0.883 5.789 4.037
La 3.762 0.447 1.753
La 3.137 2.671 4.648
O -0.563 3.939 4.633
O 0.062 5.414 1.737
O 1.187 1.492 5.710
O 1.812 1.626 2.815
O 2.833 4.609 2.975
O 3.458 4.744 0.080
O 4.583 0.822 4.053
O 5.208 2.296 1.158
```

Computed properties:
DOS(E_F) (states/eV/f.u.): 0.00
Energy relative to the elements, uncorrected (kJ/mol of formula units): -1090
VASP energy (eV/atom): -7.01
Total magnetization (μB/cell): 0.00
SG: P2_1/c
Density (g cm⁻³): 5.55

Density functional theory data (PBE) for an optimized crystal structure of Li2LaO.

The structure in extended XYZ format:
```
8
Lattice="-3.036 3.036 4.282 3.036 -3.036 4.282 3.036 3.036 -4.282" Properties=species:S:1:pos:R:3 pbc="T T T"
Li 0.000 0.000 0.000
Li 1.518 1.518 -2.141
Li 1.518 -1.518 2.141
Li 0.000 3.036 0.000
La 3.036 1.518 1.070
La 0.000 1.518 3.211
O 3.036 -1.518 3.211
O 0.000 4.554 1.070
```

Computed properties:
DOS(E_F) (states/eV/f.u.): 2.14
Energy relative to the elements, uncorrected (kJ/mol of formula units): -294
VASP energy (eV/atom): -4.19
Total magnetization (μB/cell): 5.35
SG: I4_1/amd
Density (g cm⁻³): 3.55

Question: Look up the DOS(E_F) of the second one.
Answer: 0.00 states/eV/f.u.